{"formula": "TiAg3Au12", "functional": "PBE-GGA", "state": "relaxed", "ef_ev_per_atom": -0.073, "m_tot_mub_per_fu": 1.1, "final_energy_ev_per_cell": -56.94, "lattice": [[4.183, 0.000, 0.000], [0.000, 4.183, 0.000], [0.000, 0.000, 16.355]], "species": ["Ti", "Ag", "Ag", "Ag", "Au", "Au", "Au", "Au", "Au", "Au", "Au", "Au", "Au", "Au", "Au", "Au"], "frac_coords": [[0.000, 0.000, 0.000], [0.000, 0.000, 0.249], [0.000, 0.000, 0.500], [0.000, 0.000, 0.751], [0.000, 0.500, 0.121], [0.000, 0.500, 0.374], [0.000, 0.500, 0.626], [0.000, 0.500, 0.879], [0.500, 0.000, 0.121], [0.500, 0.000, 0.374], [0.500, 0.000, 0.626], [0.500, 0.000, 0.879], [0.500, 0.500, 0.000], [0.500, 0.500, 0.248], [0.500, 0.500, 0.500], [0.500, 0.500, 0.752]]}